1.
A plane-wave DFT calculation with meta-GGA SCAN was carried out for a PBEsol-optimized structure of LaInBr2.

Computed properties:
Magnetic moment, μB/atom: 0.0006
Crystal system: tetragonal
Raw formation energy, kcal/mol of atoms: -26.79

Cell lengths 4.064, 4.064, 6.932 Å; angles 90.00, 90.00, 90.00 degrees
Space group P4mm (No. 99)
One atom of each set of equivalent atoms:
1 La 0.000 0.000 0.000
2 In 0.500 0.500 0.696
3 Br 0.000 0.000 0.428
4 Br 0.500 0.500 0.144

***

2.
A plane-wave DFT calculation with meta-GGA SCAN was carried out for a PBEsol-optimized structure of TlFe2As.

Computed properties:
Magnetic moment, μB/atom: 1.2585
Crystal system: tetragonal
Energy relative to the elements, eV per atom: 0.5608

Cell lengths 4.383, 4.383, 3.114 Å; angles 90.00, 90.00, 90.00 degrees
Space group P4/mmm (No. 123)
One atom of each set of equivalent atoms:
1 Tl 0.000 0.000 0.000
2 Fe 0.000 0.500 0.500
3 As 0.500 0.500 0.000

***

3.
A plane-wave DFT calculation with meta-GGA SCAN was carried out for a PBEsol-optimized structure of KBaRh2.

Computed properties:
Magnetic moment, μB/atom: 0.0000
Crystal system: tetragonal
Energy relative to the elements, eV per atom: 0.6089

Cell lengths 4.374, 4.374, 4.616 Å; angles 90.00, 90.00, 90.00 degrees
Space group P4/mmm (No. 123)
One atom of each set of equivalent atoms:
1 K 0.000 0.000 0.000
2 Ba 0.500 0.500 0.000
3 Rh 0.000 0.500 0.500

***

| no. | electronic total energy (eV per atom) |
| --- | --- |
| 1 | -30.01 |
| 2 | -31.64 |
| 3 | -28.25 |